{
  "formula": "CsTl2MoF8",
  "functional": "GGA+U",
  "state": "optimized geometry",
  "magmom_total_mub_per_atom": 0.083,
  "total_energy_ev_per_atom": -4.620,
  "volume_a3_per_cell": 282,
  "lattice_angstrom": [[4.983, 0.000, 0.000], [-0.633, 6.587, 0.000], [-0.009, -0.011, 8.602]],
  "species": ["Cs", "Tl", "Tl", "Mo", "F", "F", "F", "F", "F", "F", "F", "F"],
  "fractional_positions": [[0.000, 0.000, 0.000], [0.500, 0.500, 0.229], [0.500, 0.500, 0.771], [0.000, 0.000, 0.500], [0.106, 0.820, 0.336], [0.107, 0.821, 0.664], [0.338, 0.159, 0.500], [0.485, 0.723, 0.000], [0.515, 0.277, 0.000], [0.662, 0.841, 0.500], [0.893, 0.179, 0.336], [0.894, 0.180, 0.664]]
}